Compound: SiP
Source: the Alexandria database
Functional: PBE
Structure: relaxed

Results
E_form (uncorrected)   0.1 eV per formula unit
D(E_F)   0.27 states/eV/f.u.

Structure (CIF):
```
data_SiP
_chemical_formula_sum 'Si2 P2'
_cell_length_a 4.6351
_cell_length_b 3.6159
_cell_length_c 4.1626
_cell_angle_alpha 90.00
_cell_angle_beta 90.00
_cell_angle_gamma 90.00
_space_group_name_H-M_alt 'P 1'
_space_group_IT_number 1
loop_
_space_group_symop_operation_xyz
'x,y,z'
loop_
_atom_site_label
_atom_site_type_symbol
_atom_site_fract_x
_atom_site_fract_y
_atom_site_fract_z
Si1 Si 0.2500 0.0000 0.0959
Si2 Si 0.7500 0.0000 0.9041
P1 P 0.2500 0.5000 0.4425
P2 P 0.7500 0.5000 0.5575
```

***

Compound: HfNbCd2Tc
Source: the Alexandria database
Functional: PBE
Structure: relaxed

Results
E_form   1.30 eV/atom
D(E_F)   3.31 states/eV/f.u.

Structure (CIF):
```
data_HfNbCd2Tc
_chemical_formula_sum 'Hf1 Nb1 Cd2 Tc1'
_cell_length_a 5.2195
_cell_length_b 5.2195
_cell_length_c 4.5034
_cell_angle_alpha 90.00
_cell_angle_beta 90.00
_cell_angle_gamma 90.00
_space_group_name_H-M_alt 'P 1'
_space_group_IT_number 1
loop_
_space_group_symop_operation_xyz
'x,y,z'
loop_
_atom_site_label
_atom_site_type_symbol
_atom_site_fract_x
_atom_site_fract_y
_atom_site_fract_z
Hf1 Hf 0.0000 0.0000 0.0000
Nb1 Nb 0.5000 0.5000 0.5000
Cd1 Cd 0.0000 0.5000 0.5000
Cd2 Cd 0.5000 0.0000 0.5000
Tc1 Tc 0.5000 0.5000 0.0000
```

***

Compound: TlF
Source: the Alexandria database
Functional: PBE
Structure: relaxed

Results
E_form (uncorrected)   -3.5 eV per formula unit
D(E_F)   0.00 states/eV/f.u.

Structure (CIF):
```
data_TlF
_chemical_formula_sum 'Tl4 F4'
_cell_length_a 6.3792
_cell_length_b 5.8321
_cell_length_c 5.2138
_cell_angle_alpha 90.00
_cell_angle_beta 90.00
_cell_angle_gamma 90.00
_space_group_name_H-M_alt 'P 1'
_space_group_IT_number 1
loop_
_space_group_symop_operation_xyz
'x,y,z'
loop_
_atom_site_label
_atom_site_type_symbol
_atom_site_fract_x
_atom_site_fract_y
_atom_site_fract_z
Tl1 Tl 0.2431 0.0020 0.2500
Tl2 Tl 0.2431 0.4980 0.7500
Tl3 Tl 0.7569 0.5020 0.2500
Tl4 Tl 0.7569 0.9980 0.7500
F1 F 0.1417 0.5783 0.2500
F2 F 0.1417 0.9217 0.7500
F3 F 0.8583 0.0783 0.2500
F4 F 0.8583 0.4217 0.7500
```

***

Compound: MnSnMoP
Source: the Alexandria database
Functional: PBE
Structure: relaxed

Results
E_form   -0.16 eV/atom
D(E_F)   2.18 states/eV/f.u.

Structure (CIF):
```
data_MnSnMoP
_chemical_formula_sum 'Mn1 Sn1 Mo1 P1'
_cell_length_a 6.8640
_cell_length_b 6.8640
_cell_length_c 6.8640
_cell_angle_alpha 154.05
_cell_angle_beta 151.70
_cell_angle_gamma 38.77
_space_group_name_H-M_alt 'P 1'
_space_group_IT_number 1
loop_
_space_group_symop_operation_xyz
'x,y,z'
loop_
_atom_site_label
_atom_site_type_symbol
_atom_site_fract_x
_atom_site_fract_y
_atom_site_fract_z
Mn1 Mn 0.0000 0.0000 0.0000
Sn1 Sn 0.6239 0.6239 0.0000
Mo1 Mo 0.8110 0.3110 0.5000
P1 P 0.3786 0.8786 0.5000
```

***

Compound: TbDyPb2
Source: the Alexandria database
Functional: PBE
Structure: relaxed

Results
E_form   -0.43 eV/atom
D(E_F)   4.31 states/eV/f.u.

Structure (CIF):
```
data_TbDyPb2
_chemical_formula_sum 'Tb1 Dy1 Pb2'
_cell_length_a 5.0510
_cell_length_b 5.0510
_cell_length_c 4.4406
_cell_angle_alpha 90.00
_cell_angle_beta 90.00
_cell_angle_gamma 90.00
_space_group_name_H-M_alt 'P 1'
_space_group_IT_number 1
loop_
_space_group_symop_operation_xyz
'x,y,z'
loop_
_atom_site_label
_atom_site_type_symbol
_atom_site_fract_x
_atom_site_fract_y
_atom_site_fract_z
Tb1 Tb 0.0000 0.0000 0.0000
Dy1 Dy 0.5000 0.5000 0.0000
Pb1 Pb 0.0000 0.5000 0.5000
Pb2 Pb 0.5000 0.0000 0.5000
```

***

Compound: InGaI2N
Source: the Alexandria database
Functional: PBE
Structure: relaxed

Results
E_form (uncorrected)   1.2 eV per formula unit
D(E_F)   4.33 states/eV/f.u.

Structure (CIF):
```
data_InGaI2N
_chemical_formula_sum 'In1 Ga1 I2 N1'
_cell_length_a 6.4014
_cell_length_b 6.4014
_cell_length_c 3.5281
_cell_angle_alpha 90.00
_cell_angle_beta 90.00
_cell_angle_gamma 90.00
_space_group_name_H-M_alt 'P 1'
_space_group_IT_number 1
loop_
_space_group_symop_operation_xyz
'x,y,z'
loop_
_atom_site_label
_atom_site_type_symbol
_atom_site_fract_x
_atom_site_fract_y
_atom_site_fract_z
In1 In 0.0000 0.0000 0.0000
Ga1 Ga 0.5000 0.5000 0.5000
I1 I 0.0000 0.5000 0.5000
I2 I 0.5000 0.0000 0.5000
N1 N 0.5000 0.5000 0.0000
```

***

Compound: AlTlGa2Se6
Source: the Alexandria database
Functional: PBE
Structure: relaxed

Results
E_form (uncorrected)   -4.5 eV per formula unit
D(E_F)   2.28 states/eV/f.u.

Structure (CIF):
```
data_AlTlGa2Se6
_chemical_formula_sum 'Al2 Tl2 Ga4 Se12'
_cell_length_a 9.4049
_cell_length_b 9.4049
_cell_length_c 6.9625
_cell_angle_alpha 106.62
_cell_angle_beta 106.62
_cell_angle_gamma 88.67
_space_group_name_H-M_alt 'P 1'
_space_group_IT_number 1
loop_
_space_group_symop_operation_xyz
'x,y,z'
loop_
_atom_site_label
_atom_site_type_symbol
_atom_site_fract_x
_atom_site_fract_y
_atom_site_fract_z
Al1 Al 0.1881 0.8119 0.7500
Al2 Al 0.8119 0.1881 0.2500
Tl1 Tl 0.1857 0.8143 0.2500
Tl2 Tl 0.8143 0.1857 0.7500
Ga1 Ga 0.2415 0.3825 0.2815
Ga2 Ga 0.3825 0.2415 0.7815
Ga3 Ga 0.6175 0.7585 0.2185
Ga4 Ga 0.7585 0.6175 0.7185
Se1 Se 0.0290 0.1862 0.1208
Se2 Se 0.1121 0.6100 0.4243
Se3 Se 0.1862 0.0290 0.6208
Se4 Se 0.2900 0.4446 0.9944
Se5 Se 0.3900 0.8879 0.0757
Se6 Se 0.4446 0.2900 0.4944
Se7 Se 0.5554 0.7100 0.5056
Se8 Se 0.6100 0.1121 0.9243
Se9 Se 0.7100 0.5554 0.0056
Se10 Se 0.8138 0.9710 0.3792
Se11 Se 0.8879 0.3900 0.5757
Se12 Se 0.9710 0.8138 0.8792
```

***

Compound: TeSCl
Source: the Alexandria database
Functional: PBE
Structure: relaxed

Results
E_form (uncorrected)   -0.1 eV per formula unit
D(E_F)   1.95 states/eV/f.u.

Structure (CIF):
```
data_TeSCl
_chemical_formula_sum 'Te1 S1 Cl1'
_cell_length_a 4.2047
_cell_length_b 4.2047
_cell_length_c 5.9928
_cell_angle_alpha 90.00
_cell_angle_beta 90.00
_cell_angle_gamma 120.00
_space_group_name_H-M_alt 'P 1'
_space_group_IT_number 1
loop_
_space_group_symop_operation_xyz
'x,y,z'
loop_
_atom_site_label
_atom_site_type_symbol
_atom_site_fract_x
_atom_site_fract_y
_atom_site_fract_z
Te1 Te 0.0000 0.0000 0.0000
S1 S 0.3333 0.6667 0.8159
Cl1 Cl 0.6667 0.3333 0.2699
```

***

Compound: Sb3PbS
Source: the Alexandria database
Functional: PBE
Structure: relaxed

Results
E_form (uncorrected)   1.8 eV per formula unit
D(E_F)   3.21 states/eV/f.u.

Structure (CIF):
```
data_Sb3PbS
_chemical_formula_sum 'Sb3 Pb1 S1'
_cell_length_a 5.2860
_cell_length_b 5.2860
_cell_length_c 5.2860
_cell_angle_alpha 90.00
_cell_angle_beta 90.00
_cell_angle_gamma 90.00
_space_group_name_H-M_alt 'P 1'
_space_group_IT_number 1
loop_
_space_group_symop_operation_xyz
'x,y,z'
loop_
_atom_site_label
_atom_site_type_symbol
_atom_site_fract_x
_atom_site_fract_y
_atom_site_fract_z
Sb1 Sb 0.0000 0.0000 0.5000
Sb2 Sb 0.0000 0.5000 0.0000
Sb3 Sb 0.5000 0.0000 0.0000
Pb1 Pb 0.5000 0.5000 0.5000
S1 S 0.0000 0.0000 0.0000
```

***

Compound: Pr2EuHg
Source: the Alexandria database
Functional: PBE
Structure: relaxed

Results
E_form   -0.19 eV/atom
D(E_F)   4.69 states/eV/f.u.

Structure (CIF):
```
data_Pr2EuHg
_chemical_formula_sum 'Pr2 Eu1 Hg1'
_cell_length_a 3.8561
_cell_length_b 3.8561
_cell_length_c 9.0419
_cell_angle_alpha 90.00
_cell_angle_beta 90.00
_cell_angle_gamma 90.00
_space_group_name_H-M_alt 'P 1'
_space_group_IT_number 1
loop_
_space_group_symop_operation_xyz
'x,y,z'
loop_
_atom_site_label
_atom_site_type_symbol
_atom_site_fract_x
_atom_site_fract_y
_atom_site_fract_z
Pr1 Pr 0.0000 0.0000 0.2094
Pr2 Pr 0.0000 0.0000 0.7906
Eu1 Eu 0.5000 0.5000 0.5000
Hg1 Hg 0.5000 0.5000 0.0000
```

***

Compound: AlGaSi
Source: the Alexandria database
Functional: PBE
Structure: relaxed

Results
E_form (uncorrected)   0.6 eV per formula unit
D(E_F)   1.33 states/eV/f.u.

Structure (CIF):
```
data_AlGaSi
_chemical_formula_sum 'Al1 Ga1 Si1'
_cell_length_a 4.6966
_cell_length_b 4.6966
_cell_length_c 2.6672
_cell_angle_alpha 90.00
_cell_angle_beta 90.00
_cell_angle_gamma 120.00
_space_group_name_H-M_alt 'P 1'
_space_group_IT_number 1
loop_
_space_group_symop_operation_xyz
'x,y,z'
loop_
_atom_site_label
_atom_site_type_symbol
_atom_site_fract_x
_atom_site_fract_y
_atom_site_fract_z
Al1 Al 0.0000 0.0000 0.0000
Ga1 Ga 0.6667 0.3333 0.7082
Si1 Si 0.3333 0.6667 0.7742
```

***

Compound: KZn2Mo2
Source: the Alexandria database
Functional: PBE
Structure: relaxed

Results
E_form   0.46 eV/atom
D(E_F)   4.45 states/eV/f.u.

Structure (CIF):
```
data_KZn2Mo2
_chemical_formula_sum 'K2 Zn4 Mo4'
_cell_length_a 8.5091
_cell_length_b 8.5091
_cell_length_c 2.6270
_cell_angle_alpha 90.00
_cell_angle_beta 90.00
_cell_angle_gamma 90.00
_space_group_name_H-M_alt 'P 1'
_space_group_IT_number 1
loop_
_space_group_symop_operation_xyz
'x,y,z'
loop_
_atom_site_label
_atom_site_type_symbol
_atom_site_fract_x
_atom_site_fract_y
_atom_site_fract_z
K1 K 0.0000 0.0000 0.0000
K2 K 0.5000 0.5000 0.0000
Zn1 Zn 0.1831 0.3169 0.5000
Zn2 Zn 0.3169 0.8169 0.5000
Zn3 Zn 0.6831 0.1831 0.5000
Zn4 Zn 0.8169 0.6831 0.5000
Mo1 Mo 0.1039 0.6039 0.0000
Mo2 Mo 0.3961 0.1039 0.0000
Mo3 Mo 0.6039 0.8961 0.0000
Mo4 Mo 0.8961 0.3961 0.0000
```